1.
Below is an optimized crystal structure of ScAsS2Cl, with properties calculated at the GGA-PBE level.

It has space group P4/mmm (No. 123), with a = 5.015 Å, b = 5.015 Å, c = 4.754 Å, α = 90.00°, β = 90.00° and γ = 90.00°. The inequivalent atoms are Sc at (0.000, 0.000, 0.000), As at (0.500, 0.500, 0.500), S at (0.000, 0.500, 0.000) and Cl at (0.000, 0.000, 0.500).

The value obtained for the density of states at the Fermi level is 0.3894 states/eV per atom. The value obtained for the uncorrected formation energy is -0.421 eV per atom. The value obtained for the total energy is -23.19 eV/cell. The value obtained for the polymorph energy (0 for the lowest one) is 0.00 kcal/mol of atoms.

---

2.
Below is an optimized crystal structure of Pr3ErMg2, with properties calculated at the GGA-PBE level.

It has space group P4/mmm (No. 123), with a = 3.837 Å, b = 3.837 Å, c = 12.723 Å, α = 90.00°, β = 90.00° and γ = 90.00°. The inequivalent atoms are Pr at (0.000, 0.000, 0.000), Pr at (0.000, 0.000, 0.312), Er at (0.500, 0.500, 0.500) and Mg at (0.500, 0.500, 0.156).

The value obtained for the density of states at the Fermi level is 1.1560 states/eV per atom. The value obtained for the total energy is -22.42 eV/cell.

---

3.
Below is an optimized crystal structure of KSrNbN3, with properties calculated at the GGA-PBE level.

It has space group C2/c (No. 15), with a = 6.180 Å, b = 12.390 Å, c = 5.843 Å, α = 90.00°, β = 91.00° and γ = 90.00°. The inequivalent atoms are K at (0.000, 0.245, 0.250), Sr at (0.000, 0.414, 0.750), Nb at (0.000, 0.055, 0.750), N at (0.000, 0.208, 0.750) and N at (0.219, 0.003, 0.500).

The value obtained for the density of states at the Fermi level is 0.6665 states/eV per atom. The value obtained for the uncorrected formation energy is -0.584 eV per atom. The value obtained for the total energy is -165.31 eV/cell.

---

4.
Below is an optimized crystal structure of FeRePb, with properties calculated at the GGA-PBE level.

It has space group P3m1 (No. 156), with a = 4.2302 Å, b = 4.2302 Å, c = 3.4307 Å, α = 90.00°, β = 90.00° and γ = 120.00°. The inequivalent atoms are Fe at (0.0000, 0.0000, 0.0000), Re at (0.6667, 0.3333, 0.9213) and Pb at (0.3333, 0.6667, 0.4428).

The value obtained for the density of states at the Fermi level is 0.8546 states/eV per atom. The value obtained for the total energy is -21.86 eV/cell. The value obtained for the polymorph energy (0 for the lowest one) is 5.49 kcal/mol of atoms.

---

5.
Below is an optimized crystal structure of TbAl3CoCu, with properties calculated at the GGA-PBE level.

It has space group Cmcm (No. 63), with a = 6.189 Å, b = 11.963 Å, c = 5.568 Å, α = 90.00°, β = 90.00° and γ = 90.00°. The inequivalent atoms are Tb at (0.000, 0.231, 0.250), Al at (0.000, 0.360, 0.750), Al at (0.207, 0.000, 0.000), Co at (0.000, 0.441, 0.250) and Cu at (0.000, 0.148, 0.750).

The value obtained for the density of states at the Fermi level is 0.5711 states/eV per atom. The value obtained for the total energy is -114.98 eV/cell.

---

6.
Below is an optimized crystal structure of Cs2InPt2, with properties calculated at the GGA-PBE level.

It has space group P4/mbm (No. 127), with a = 7.146 Å, b = 7.146 Å, c = 5.928 Å, α = 90.00°, β = 90.00° and γ = 90.00°. The inequivalent atoms are Cs at (0.179, 0.321, 0.000), In at (0.000, 0.000, 0.500) and Pt at (0.130, 0.630, 0.500).

The value obtained for the density of states at the Fermi level is 0.7032 states/eV per atom. The value obtained for the total energy is -33.43 eV/cell. The value obtained for the polymorph energy (0 for the lowest one) is 5.83 kcal/mol of atoms.

---

7.
Below is an optimized crystal structure of AcDyAgIr, with properties calculated at the GGA-PBE level.

It has space group F-43m (No. 216), with a = 7.354 Å, b = 7.354 Å, c = 7.354 Å, α = 90.00°, β = 90.00° and γ = 90.00°. The inequivalent atoms are Ac at (0.000, 0.000, 0.000), Dy at (0.000, 0.000, 0.500), Ag at (0.250, 0.250, 0.750) and Ir at (0.250, 0.250, 0.250).

The value obtained for the density of states at the Fermi level is 0.8374 states/eV per atom. The value obtained for the total energy is -88.18 eV/cell.

---

8.
Below is an optimized crystal structure of MgZrPb2, with properties calculated at the GGA-PBE level.

It has space group F-43m (No. 216), with a = 7.520 Å, b = 7.520 Å, c = 7.520 Å, α = 90.00°, β = 90.00° and γ = 90.00°. The inequivalent atoms are Mg at (0.000, 0.000, 0.000), Zr at (0.250, 0.250, 0.750), Pb at (0.000, 0.000, 0.500) and Pb at (0.250, 0.250, 0.250).

The value obtained for the density of states at the Fermi level is 1.0695 states/eV per atom. The value obtained for the total energy is -65.68 eV/cell.

---

9.
Below is an optimized crystal structure of NiIr3Cl, with properties calculated at the GGA-PBE level.

It has space group Pm-3m (No. 221), with a = 4.374 Å, b = 4.374 Å, c = 4.374 Å, α = 90.00°, β = 90.00° and γ = 90.00°. The inequivalent atoms are Ni at (0.000, 0.000, 0.000), Ir at (0.000, 0.500, 0.500) and Cl at (0.500, 0.500, 0.500).

The value obtained for the density of states at the Fermi level is 2.5336 states/eV per atom. The value obtained for the uncorrected formation energy is 1.743 eV per atom. The value obtained for the total energy is -25.49 eV/cell. The value obtained for the polymorph energy (0 for the lowest one) is 0.00 kcal/mol of atoms.

---

10.
Below is an optimized crystal structure of LiRu2W, with properties calculated at the GGA-PBE level.

It has space group F-43m (No. 216), with a = 6.072 Å, b = 6.072 Å, c = 6.072 Å, α = 90.00°, β = 90.00° and γ = 90.00°. The inequivalent atoms are Li at (0.000, 0.000, 0.000), Ru at (0.000, 0.000, 0.500), Ru at (0.250, 0.250, 0.250) and W at (0.250, 0.250, 0.750).

The value obtained for the density of states at the Fermi level is 0.6529 states/eV per atom. The value obtained for the total energy is -127.45 eV/cell. The value obtained for the polymorph energy (0 for the lowest one) is 10.24 kcal/mol of atoms.

---

11.
Below is an optimized crystal structure of Rb2LiMoS4, with properties calculated at the GGA-PBE level.

It has space group Fddd (No. 70, origin choice 2), with a = 5.832 Å, b = 13.630 Å, c = 24.176 Å, α = 90.00°, β = 90.00° and γ = 90.00°. The inequivalent atoms are Rb at (0.125, 0.125, 0.303), Li at (0.125, 0.125, 0.125), Mo at (0.125, 0.125, 0.625) and S at (0.103, 0.279, 0.823).

The value obtained for the density of states at the Fermi level is 0.4784 states/eV per atom. The value obtained for the uncorrected formation energy is -0.977 eV per atom. The value obtained for the total energy is -312.05 eV/cell.

---

12.
Below is an optimized crystal structure of YMn2B4, with properties calculated at the GGA-PBE level.

It has space group Immm (No. 71), with a = 3.063 Å, b = 3.260 Å, c = 14.252 Å, α = 90.00°, β = 90.00° and γ = 90.00°. The inequivalent atoms are Y at (0.000, 0.000, 0.000), Mn at (0.000, 0.500, 0.307), B at (0.000, 0.000, 0.401) and B at (0.000, 0.500, 0.154).

The value obtained for the density of states at the Fermi level is 0.5768 states/eV per atom. The value obtained for the total energy is -108.25 eV/cell.